! BeZnAu3 (PBE, optimized geometry); values from VASP
! offset from the most stable computed form	316	meV per atom
! energy relative to the elements	0.1751	eV per atom
&SYSTEM
  ibrav = 0, nat = 5, ntyp = 3
/
ATOMIC_SPECIES
Be 9.01 Be.upf
Zn 65.41 Zn.upf
Au 196.97 Au.upf
CELL_PARAMETERS angstrom
4.446 0.000 0.000
0.000 4.446 0.000
0.000 0.000 4.446
ATOMIC_POSITIONS crystal
Be 0.000 0.000 0.000
Zn 0.500 0.500 0.500
Au 0.000 0.500 0.000
Au 0.000 0.000 0.500
Au 0.500 0.000 0.000

***

! Be2CrW (PBE, optimized geometry); values from VASP
! offset from the most stable computed form	295	meV per atom
! energy relative to the elements	0.2226	eV per atom
&SYSTEM
  ibrav = 0, nat = 4, ntyp = 3
/
ATOMIC_SPECIES
Cr 52.00 Cr.upf
W 183.84 W.upf
Be 9.01 Be.upf
CELL_PARAMETERS angstrom
4.028 0.000 0.000
2.014 3.488 0.000
2.014 1.163 3.289
ATOMIC_POSITIONS crystal
Cr 0.500 0.500 0.500
W 0.750 0.750 0.750
Be 0.000 0.000 0.000
Be 0.250 0.250 0.250

***

! SrScPb2 (PBE, optimized geometry); values from VASP
! energy relative to the elements	-0.2893	eV per atom
&SYSTEM
  ibrav = 0, nat = 4, ntyp = 3
/
ATOMIC_SPECIES
Pb 207.20 Pb.upf
Sc 44.96 Sc.upf
Sr 87.62 Sr.upf
CELL_PARAMETERS angstrom
-4.637 4.946 -0.820
-6.726 1.170 -0.167
-1.484 1.547 4.196
ATOMIC_POSITIONS crystal
Pb 0.007 0.007 0.993
Pb 0.703 0.703 0.797
Sc 0.519 0.520 0.481
Sr 0.270 0.270 0.230

***

! Ti2CrPd9 (PBE, optimized geometry); values from VASP
! energy relative to the elements	-0.4651	eV per atom
&SYSTEM
  ibrav = 0, nat = 12, ntyp = 3
/
ATOMIC_SPECIES
Ti 47.87 Ti.upf
Cr 52.00 Cr.upf
Pd 106.42 Pd.upf
CELL_PARAMETERS angstrom
3.924 0.000 0.000
0.000 3.924 0.000
0.000 0.000 11.770
ATOMIC_POSITIONS crystal
Ti 0.000 0.000 0.330
Ti 0.000 0.000 0.670
Cr 0.000 0.000 0.000
Pd 0.500 0.500 0.000
Pd 0.500 0.500 0.335
Pd 0.500 0.500 0.665
Pd 0.500 0.000 0.170
Pd 0.500 0.000 0.500
Pd 0.500 0.000 0.830
Pd 0.000 0.500 0.170
Pd 0.000 0.500 0.500
Pd 0.000 0.500 0.830

***

! NaPu3Pa2N6 (PBE, optimized geometry); values from VASP
! formation energy from raw total energies	-1.2251	eV per atom
&SYSTEM
  ibrav = 0, nat = 12, ntyp = 4
/
ATOMIC_SPECIES
Na 22.99 Na.upf
Pu 244.00 Pu.upf
Pa 231.04 Pa.upf
N 14.01 N.upf
CELL_PARAMETERS angstrom
-2.337 -1.988 -1.719
0.359 -4.799 5.060
-4.414 5.584 3.142
ATOMIC_POSITIONS crystal
Na 0.500 0.000 0.000
Pu 0.500 0.500 0.000
Pu 0.839 0.163 0.677
Pu 0.161 0.837 0.323
Pa 0.835 0.674 0.670
Pa 0.165 0.326 0.330
N 0.326 0.903 0.652
N 0.670 0.571 0.340
N 0.674 0.097 0.348
N 0.010 0.287 0.019
N 0.990 0.713 0.981
N 0.330 0.429 0.660

***

! La7PrY3 (PBE, optimized geometry); values from VASP
! offset from the most stable computed form	0	meV per atom
! energy relative to the elements	0.1158	eV per atom
&SYSTEM
  ibrav = 0, nat = 11, ntyp = 3
/
ATOMIC_SPECIES
La 138.91 La.upf
Pr 140.91 Pr.upf
Y 88.91 Y.upf
CELL_PARAMETERS angstrom
-4.178 2.407 -4.834
3.654 -6.919 -4.401
-4.815 -4.517 0.985
ATOMIC_POSITIONS crystal
La 0.224 0.207 0.293
La 0.290 0.856 0.550
La 0.735 0.413 0.019
La 0.265 0.587 0.981
La 0.000 0.500 0.500
La 0.710 0.144 0.450
La 0.776 0.793 0.707
Pr 0.500 0.500 0.500
Y 0.926 0.833 0.180
Y 0.500 0.000 0.000
Y 0.074 0.167 0.820